No. 1
AlCrInCl6, relaxed, DFT PBE-GGA; Fermi-level density of states = 6.46 states/eV/cell; formation energy without anion corrections = -1.147 eV/atom
1.0
6.352 0.000 0.000
-3.176 5.501 0.000
0.000 0.000 7.122
Al Cr In Cl
1 1 1 6
direct
0.000 0.000 0.000
0.667 0.333 0.000
0.333 0.667 0.500
0.316 0.028 0.191
0.316 0.288 0.809
0.712 0.028 0.809
0.712 0.684 0.191
0.972 0.288 0.191
0.972 0.684 0.809

***

No. 2
KPCl, relaxed, DFT PBE-GGA; ΔE to the lowest computed polymorph = 0.016 eV per atom; formation energy without anion corrections = -0.037 eV/atom
1.0
0.000 3.792 3.792
3.792 0.000 3.792
3.792 3.792 0.000
K P Cl
1 1 1
direct
0.000 0.000 0.000
0.500 0.500 0.500
0.750 0.750 0.750

***

No. 3
CaPm3Sm, relaxed, DFT PBE-GGA; ΔE to the lowest computed polymorph = 0.191 eV per atom; Fermi-level density of states = 16.99 states/eV/cell
1.0
3.091 1.785 11.914
-3.091 1.785 11.914
0.000 -3.570 11.914
Ca Pm Sm
2 6 2
direct
0.166 0.166 0.166
0.834 0.834 0.834
0.083 0.747 0.410
0.253 0.590 0.917
0.410 0.083 0.747
0.590 0.917 0.253
0.747 0.410 0.083
0.917 0.253 0.590
0.334 0.334 0.334
0.666 0.666 0.666

***

No. 4
AuBrN2F, relaxed, DFT PBE-GGA; ΔE to the lowest computed polymorph = 0.000 eV per atom; Fermi-level density of states = 4.34 states/eV/cell; formation energy without anion corrections = 1.495 eV/atom
1.0
4.237 0.000 0.000
0.000 4.237 0.000
0.000 0.000 4.357
Au Br N F
1 1 2 1
direct
0.000 0.000 0.000
0.500 0.500 0.500
0.000 0.500 0.000
0.500 0.000 0.000
0.000 0.000 0.500

***

No. 5
GeSeBrN2, relaxed, DFT PBE-GGA; ΔE to the lowest computed polymorph = 0.000 eV per atom; Fermi-level density of states = 3.54 states/eV/cell; formation energy without anion corrections = 1.240 eV/atom
1.0
3.760 0.000 0.000
0.000 3.760 0.000
0.000 0.000 6.496
Ge Se Br N
1 1 1 2
direct
0.000 0.000 0.000
0.000 0.000 0.500
0.500 0.500 0.500
0.000 0.500 0.000
0.500 0.000 0.000

***

No. 6
Zr3In2Au, relaxed, DFT PBE-GGA; Fermi-level density of states = 4.45 states/eV/cell; VASP energy = -36.7 eV for the cell shown
1.0
3.145 0.000 0.000
0.000 3.145 0.000
0.000 0.000 12.948
Zr In Au
3 2 1
direct
0.000 0.000 0.000
0.000 0.000 0.345
0.000 0.000 0.655
0.500 0.500 0.172
0.500 0.500 0.828
0.500 0.500 0.500

***

No. 7
K8Rb6In, relaxed, DFT PBE-GGA; Fermi-level density of states = 15.26 states/eV/cell; VASP energy = -17.0 eV for the cell shown
1.0
6.401 3.695 7.984
-6.401 3.695 7.984
0.000 -7.391 7.984
K Rb In
8 6 1
direct
0.037 0.331 0.893
0.107 0.963 0.669
0.240 0.240 0.240
0.331 0.893 0.037
0.669 0.107 0.963
0.760 0.760 0.760
0.893 0.037 0.331
0.963 0.669 0.107
0.175 0.620 0.440
0.380 0.560 0.825
0.440 0.175 0.620
0.560 0.825 0.380
0.620 0.440 0.175
0.825 0.380 0.560
0.000 0.000 0.000

***

No. 8
Li2SmAg2Sn2, relaxed, DFT PBE-GGA; Fermi-level density of states = 2.58 states/eV/cell; VASP energy = -25.1 eV for the cell shown
1.0
2.335 1.348 7.961
-2.335 1.348 7.961
0.000 -2.696 7.961
Li Sm Ag Sn
2 1 2 2
direct
0.140 0.140 0.140
0.860 0.860 0.860
0.000 0.000 0.000
0.437 0.437 0.437
0.563 0.563 0.563
0.260 0.260 0.260
0.740 0.740 0.740